(1)
{"formula": "Ba2PmI", "functional": "PBE", "state": "relaxed", "sg": "R-3m", "crystal_system": "trigonal", "lattice": [[-0.4328, 3.1949, 2.5007], [1.7394, -0.0477, 3.6906], [11.0256, 6.3368, -2.8589]], "species": ["Ba", "Ba", "I", "Pm"], "frac_coords": [[0.0972, 0.0972, 0.7083], [0.9028, 0.9028, 0.2917], [0.5000, 0.5000, 0.5000], [0.0000, 0.0000, 0.0000]]}


(2)
{"formula": "NaSmPbO3", "functional": "PBE", "state": "relaxed", "sg": "P2_1/m", "crystal_system": "monoclinic", "lattice": [[3.5175, 0.0000, 0.0000], [0.0000, 10.2074, 1.4664], [0.0000, -0.5671, 6.3310]], "species": ["O", "O", "O", "O", "O", "O", "Na", "Na", "Pb", "Pb", "Sm", "Sm"], "frac_coords": [[0.2500, 0.7814, 0.4003], [0.2500, 0.5254, 0.8030], [0.7500, 0.4746, 0.1970], [0.2500, 0.2420, 0.9904], [0.7500, 0.7580, 0.0096], [0.7500, 0.2186, 0.5997], [0.7500, 0.6920, 0.6639], [0.2500, 0.3080, 0.3361], [0.7500, 0.9026, 0.2505], [0.2500, 0.0974, 0.7495], [0.7500, 0.3791, 0.8698], [0.2500, 0.6209, 0.1302]]}


(3)
{"formula": "Zn3CoI", "functional": "PBE", "state": "relaxed", "relative_energy_ev_per_atom": 0.000, "sg": "Pm-3m", "crystal_system": "cubic", "lattice": [[4.7946, 0.0000, 0.0000], [0.0000, 4.7946, 0.0000], [0.0000, 0.0000, 4.7946]], "species": ["Zn", "Zn", "Zn", "Co", "I"], "frac_coords": [[0.5000, 0.0000, 0.0000], [0.0000, 0.0000, 0.5000], [0.0000, 0.5000, 0.0000], [0.0000, 0.0000, 0.0000], [0.5000, 0.5000, 0.5000]]}


The calculation returns the following density of states at the Fermi level values, one per record and in order: 1.4845 0.0000 2.3198 states/eV/atom.
The calculation returns the following ΔE_f (raw) values, one per record and in order: -1.03 -12.62 2.06 eV/f.u..
The calculation returns the following total magnetic moment values, one per record and in order: 0.2547 0.0000 0.1542 μB/atom.